## i
# MnVSe2 | Alexandria via LeMat-Bulk | PBE | relaxed
# Calculated volume   230.4 Å³/cell
# Total magnetization   3.9 μB per formula unit
# Density of states at the Fermi level   7.5 states/eV/cell
data_MnVSe2
_chemical_formula_sum 'Mn3 V3 Se6'
_cell_length_a 3.3066
_cell_length_b 3.3066
_cell_length_c 24.3338
_cell_angle_alpha 90.00
_cell_angle_beta 90.00
_cell_angle_gamma 120.00
_symmetry_space_group_name_H-M 'R -3 m'
_symmetry_Int_Tables_number 166
_symmetry_space_group_name_Hall '-R 3 2"'
loop_
_atom_site_label
_atom_site_type_symbol
_atom_site_fract_x
_atom_site_fract_y
_atom_site_fract_z
_atom_site_occupancy
Mn1 Mn 0.0000 0.0000 0.0000 1
V1 V 0.0000 0.0000 0.5000 1
Se1 Se 0.0000 0.0000 0.1013 1



## ii
# MnVSe2 | Alexandria via LeMat-Bulk | PBE | relaxed
# Calculated volume   267.1 Å³/cell
# Total magnetization   1.9 μB per formula unit
# Density of states at the Fermi level   16.6 states/eV/cell
data_MnVSe2
_chemical_formula_sum 'Mn4 V4 Se8'
_cell_length_a 6.440
_cell_length_b 6.440
_cell_length_c 6.440
_cell_angle_alpha 90.00
_cell_angle_beta 90.00
_cell_angle_gamma 90.00
_symmetry_space_group_name_H-M 'F m -3 m'
_symmetry_Int_Tables_number 225
_symmetry_space_group_name_Hall '-F 4 2 3'
loop_
_atom_site_label
_atom_site_type_symbol
_atom_site_fract_x
_atom_site_fract_y
_atom_site_fract_z
_atom_site_occupancy
Mn1 Mn 0.000 0.000 0.000 1
V1 V 0.000 0.000 0.500 1
Se1 Se 0.250 0.250 0.250 1



## iii
# MnVSe2 | Alexandria via LeMat-Bulk | PBE | relaxed
# Calculated volume   381.9 Å³/cell
# Total magnetization   6.8 μB per formula unit
# Density of states at the Fermi level   13.5 states/eV/cell
data_MnVSe2
_chemical_formula_sum 'Mn4 V4 Se8'
_cell_length_a 5.780
_cell_length_b 5.780
_cell_length_c 11.433
_cell_angle_alpha 90.00
_cell_angle_beta 90.00
_cell_angle_gamma 90.00
_symmetry_space_group_name_H-M 'I -4 2 d'
_symmetry_Int_Tables_number 122
_symmetry_space_group_name_Hall 'I -4 2bw'
loop_
_atom_site_label
_atom_site_type_symbol
_atom_site_fract_x
_atom_site_fract_y
_atom_site_fract_z
_atom_site_occupancy
Mn1 Mn 0.000 0.000 0.000 1
V1 V 0.000 0.000 0.500 1
Se1 Se 0.244 0.250 0.625 1



## iv
# MnVSe2 | Alexandria via LeMat-Bulk | PBE | relaxed
# Calculated volume   262.3 Å³/cell
# Total magnetization   7.1 μB per formula unit
# Density of states at the Fermi level   12.6 states/eV/cell
data_MnVSe2
_chemical_formula_sum 'Mn3 V3 Se6'
_cell_length_a 3.5867
_cell_length_b 3.5867
_cell_length_c 23.5406
_cell_angle_alpha 90.00
_cell_angle_beta 90.00
_cell_angle_gamma 120.00
_symmetry_space_group_name_H-M 'R -3 m'
_symmetry_Int_Tables_number 166
_symmetry_space_group_name_Hall '-R 3 2"'
loop_
_atom_site_label
_atom_site_type_symbol
_atom_site_fract_x
_atom_site_fract_y
_atom_site_fract_z
_atom_site_occupancy
Mn1 Mn 0.0000 0.0000 0.0000 1
V1 V 0.0000 0.0000 0.5000 1
Se1 Se 0.0000 0.0000 0.3955 1



Energy comparison, zero being the most stable, in eV/atom: i 0.062; ii 0.154; iii 0.000; iv 0.303.



## i
# MnWSe2 | Alexandria via LeMat-Bulk | PBE | relaxed
# Calculated volume   78.2 Å³/cell
# Total magnetization   3.2 μB per formula unit
# Density of states at the Fermi level   1.7 states/eV/cell
data_MnWSe2
_chemical_formula_sum 'Mn1 W1 Se2'
_cell_length_a 3.242
_cell_length_b 3.242
_cell_length_c 7.438
_cell_angle_alpha 90.00
_cell_angle_beta 90.00
_cell_angle_gamma 90.00
_symmetry_space_group_name_H-M 'P 4 m m'
_symmetry_Int_Tables_number 99
_symmetry_space_group_name_Hall 'P 4 -2'
loop_
_atom_site_label
_atom_site_type_symbol
_atom_site_fract_x
_atom_site_fract_y
_atom_site_fract_z
_atom_site_occupancy
Mn1 Mn 0.000 0.000 0.000 1
W1 W 0.500 0.500 0.788 1
Se1 Se 0.000 0.000 0.603 1
Se2 Se 0.500 0.500 0.140 1



## ii
# MnWSe2 | Alexandria via LeMat-Bulk | PBE | relaxed
# Calculated volume   232.1 Å³/cell
# Total magnetization   3.9 μB per formula unit
# Density of states at the Fermi level   12.2 states/eV/cell
data_MnWSe2
_chemical_formula_sum 'Mn3 W3 Se6'
_cell_length_a 3.2495
_cell_length_b 3.2495
_cell_length_c 25.3782
_cell_angle_alpha 90.00
_cell_angle_beta 90.00
_cell_angle_gamma 120.00
_symmetry_space_group_name_H-M 'R -3 m'
_symmetry_Int_Tables_number 166
_symmetry_space_group_name_Hall '-R 3 2"'
loop_
_atom_site_label
_atom_site_type_symbol
_atom_site_fract_x
_atom_site_fract_y
_atom_site_fract_z
_atom_site_occupancy
Mn1 Mn 0.0000 0.0000 0.0000 1
W1 W 0.0000 0.0000 0.5000 1
Se1 Se 0.0000 0.0000 0.0974 1



Energy comparison, zero being the most stable, in eV/atom: i 0.000; ii 0.213.



## i
# Mn3WSe | Alexandria via LeMat-Bulk | PBE | relaxed
# Calculated volume   103.1 Å³/cell
# Total magnetization   8.0 μB per formula unit
# Density of states at the Fermi level   4.9 states/eV/cell
data_Mn3WSe
_chemical_formula_sum 'Mn3 W1 Se1'
_cell_length_a 4.689
_cell_length_b 4.689
_cell_length_c 4.689
_cell_angle_alpha 90.00
_cell_angle_beta 90.00
_cell_angle_gamma 90.00
_symmetry_space_group_name_H-M 'P m -3 m'
_symmetry_Int_Tables_number 221
_symmetry_space_group_name_Hall '-P 4 2 3'
loop_
_atom_site_label
_atom_site_type_symbol
_atom_site_fract_x
_atom_site_fract_y
_atom_site_fract_z
_atom_site_occupancy
Mn1 Mn 0.000 0.000 0.500 1
W1 W 0.000 0.000 0.000 1
Se1 Se 0.500 0.500 0.500 1



## ii
# Mn3WSe | Alexandria via LeMat-Bulk | PBE | relaxed
# Calculated volume   74.7 Å³/cell
# Total magnetization   0.0 μB per formula unit
# Density of states at the Fermi level   13.1 states/eV/cell
data_Mn3WSe
_chemical_formula_sum 'Mn3 W1 Se1'
_cell_length_a 4.211
_cell_length_b 4.211
_cell_length_c 4.211
_cell_angle_alpha 90.00
_cell_angle_beta 90.00
_cell_angle_gamma 90.00
_symmetry_space_group_name_H-M 'P m -3 m'
_symmetry_Int_Tables_number 221
_symmetry_space_group_name_Hall '-P 4 2 3'
loop_
_atom_site_label
_atom_site_type_symbol
_atom_site_fract_x
_atom_site_fract_y
_atom_site_fract_z
_atom_site_occupancy
Mn1 Mn 0.000 0.000 0.500 1
W1 W 0.500 0.500 0.500 1
Se1 Se 0.000 0.000 0.000 1



Energy comparison, zero being the most stable, in eV/atom: i 0.086; ii 0.000.



## i
# YMn3Se | Alexandria via LeMat-Bulk | PBE | relaxed
# Calculated volume   124.9 Å³/cell
# Total magnetization   10.5 μB per formula unit
# Density of states at the Fermi level   4.3 states/eV/cell
data_YMn3Se
_chemical_formula_sum 'Y1 Mn3 Se1'
_cell_length_a 4.999
_cell_length_b 4.999
_cell_length_c 4.999
_cell_angle_alpha 90.00
_cell_angle_beta 90.00
_cell_angle_gamma 90.00
_symmetry_space_group_name_H-M 'P m -3 m'
_symmetry_Int_Tables_number 221
_symmetry_space_group_name_Hall '-P 4 2 3'
loop_
_atom_site_label
_atom_site_type_symbol
_atom_site_fract_x
_atom_site_fract_y
_atom_site_fract_z
_atom_site_occupancy
Y1 Y 0.000 0.000 0.000 1
Mn1 Mn 0.000 0.000 0.500 1
Se1 Se 0.500 0.500 0.500 1



## ii
# YMn3Se | Alexandria via LeMat-Bulk | PBE | relaxed
# Calculated volume   97.3 Å³/cell
# Total magnetization   8.3 μB per formula unit
# Density of states at the Fermi level   5.8 states/eV/cell
data_YMn3Se
_chemical_formula_sum 'Y1 Mn3 Se1'
_cell_length_a 4.599
_cell_length_b 4.599
_cell_length_c 4.599
_cell_angle_alpha 90.00
_cell_angle_beta 90.00
_cell_angle_gamma 90.00
_symmetry_space_group_name_H-M 'P m -3 m'
_symmetry_Int_Tables_number 221
_symmetry_space_group_name_Hall '-P 4 2 3'
loop_
_atom_site_label
_atom_site_type_symbol
_atom_site_fract_x
_atom_site_fract_y
_atom_site_fract_z
_atom_site_occupancy
Y1 Y 0.000 0.000 0.000 1
Mn1 Mn 0.000 0.500 0.500 1
Se1 Se 0.500 0.500 0.500 1



Energy comparison, zero being the most stable, in eV/atom: i 1.355; ii 0.000.



## i
# ZrMnSe3 | Alexandria via LeMat-Bulk | PBE | relaxed
# Calculated volume   490.2 Å³/cell
# Total magnetization   5.0 μB per formula unit
# Density of states at the Fermi level   2.3 states/eV/cell
data_ZrMnSe3
_chemical_formula_sum 'Zr4 Mn4 Se12'
_cell_length_a 6.596
_cell_length_b 11.939
_cell_length_c 6.634
_cell_angle_alpha 90.00
_cell_angle_beta 110.24
_cell_angle_gamma 90.00
_symmetry_space_group_name_H-M 'C 1 2/m 1'
_symmetry_Int_Tables_number 12
_symmetry_space_group_name_Hall '-C 2y'
loop_
_atom_site_label
_atom_site_type_symbol
_atom_site_fract_x
_atom_site_fract_y
_atom_site_fract_z
_atom_site_occupancy
Zr1 Zr 0.000 0.160 0.000 1
Mn1 Mn 0.000 0.335 0.500 1
Se1 Se 0.245 0.179 0.747 1
Se2 Se 0.245 0.500 0.752 1



## ii
# ZrMnSe3 | Alexandria via LeMat-Bulk | PBE | relaxed
# Calculated volume   273.8 Å³/cell
# Total magnetization   5.0 μB per formula unit
# Density of states at the Fermi level   0.8 states/eV/cell
data_ZrMnSe3
_chemical_formula_sum 'Zr2 Mn2 Se6'
_cell_length_a 7.192
_cell_length_b 3.917
_cell_length_c 9.771
_cell_angle_alpha 90.00
_cell_angle_beta 95.99
_cell_angle_gamma 90.00
_symmetry_space_group_name_H-M 'P 1 21/m 1'
_symmetry_Int_Tables_number 11
_symmetry_space_group_name_Hall '-P 2yb'
loop_
_atom_site_label
_atom_site_type_symbol
_atom_site_fract_x
_atom_site_fract_y
_atom_site_fract_z
_atom_site_occupancy
Zr1 Zr 0.061 0.250 0.165 1
Mn1 Mn 0.387 0.250 0.608 1
Se1 Se 0.068 0.250 0.681 1
Se2 Se 0.230 0.750 0.027 1
Se3 Se 0.395 0.250 0.342 1



Energy comparison, zero being the most stable, in eV/atom: i 0.010; ii 0.000.



## i
# ZrMn3Se | Alexandria via LeMat-Bulk | PBE | relaxed
# Calculated volume   113.5 Å³/cell
# Total magnetization   9.4 μB per formula unit
# Density of states at the Fermi level   7.5 states/eV/cell
data_ZrMn3Se
_chemical_formula_sum 'Zr1 Mn3 Se1'
_cell_length_a 4.842
_cell_length_b 4.842
_cell_length_c 4.842
_cell_angle_alpha 90.00
_cell_angle_beta 90.00
_cell_angle_gamma 90.00
_symmetry_space_group_name_H-M 'P m -3 m'
_symmetry_Int_Tables_number 221
_symmetry_space_group_name_Hall '-P 4 2 3'
loop_
_atom_site_label
_atom_site_type_symbol
_atom_site_fract_x
_atom_site_fract_y
_atom_site_fract_z
_atom_site_occupancy
Zr1 Zr 0.000 0.000 0.000 1
Mn1 Mn 0.000 0.000 0.500 1
Se1 Se 0.500 0.500 0.500 1



## ii
# ZrMn3Se | Alexandria via LeMat-Bulk | PBE | relaxed
# Calculated volume   79.4 Å³/cell
# Total magnetization   0.0 μB per formula unit
# Density of states at the Fermi level   5.9 states/eV/cell
data_ZrMn3Se
_chemical_formula_sum 'Zr1 Mn3 Se1'
_cell_length_a 4.298
_cell_length_b 4.298
_cell_length_c 4.298
_cell_angle_alpha 90.00
_cell_angle_beta 90.00
_cell_angle_gamma 90.00
_symmetry_space_group_name_H-M 'P m -3 m'
_symmetry_Int_Tables_number 221
_symmetry_space_group_name_Hall '-P 4 2 3'
loop_
_atom_site_label
_atom_site_type_symbol
_atom_site_fract_x
_atom_site_fract_y
_atom_site_fract_z
_atom_site_occupancy
Zr1 Zr 0.000 0.000 0.000 1
Mn1 Mn 0.000 0.500 0.500 1
Se1 Se 0.500 0.500 0.500 1



Energy comparison, zero being the most stable, in eV/atom: i 0.807; ii 0.000.



## i
# Zr2MnSe2 | Alexandria via LeMat-Bulk | PBE | relaxed
# Calculated volume   449.8 Å³/cell
# Total magnetization   1.1 μB per formula unit
# Density of states at the Fermi level   9.9 states/eV/cell
data_Zr2MnSe2
_chemical_formula_sum 'Zr8 Mn4 Se8'
_cell_length_a 16.771
_cell_length_b 4.942
_cell_length_c 5.446
_cell_angle_alpha 90.00
_cell_angle_beta 94.88
_cell_angle_gamma 90.00
_symmetry_space_group_name_H-M 'C 1 2/m 1'
_symmetry_Int_Tables_number 12
_symmetry_space_group_name_Hall '-C 2y'
loop_
_atom_site_label
_atom_site_type_symbol
_atom_site_fract_x
_atom_site_fract_y
_atom_site_fract_z
_atom_site_occupancy
Zr1 Zr 0.142 0.000 0.326 1
Zr2 Zr 0.190 0.500 0.873 1
Mn1 Mn 0.236 0.500 0.352 1
Se1 Se 0.084 0.500 0.260 1
Se2 Se 0.125 0.000 0.808 1



## ii
# Zr2MnSe2 | Alexandria via LeMat-Bulk | PBE | relaxed
# Calculated volume   205.2 Å³/cell
# Total magnetization   2.6 μB per formula unit
# Density of states at the Fermi level   3.6 states/eV/cell
data_Zr2MnSe2
_chemical_formula_sum 'Zr4 Mn2 Se4'
_cell_length_a 3.554
_cell_length_b 3.554
_cell_length_c 16.248
_cell_angle_alpha 90.00
_cell_angle_beta 90.00
_cell_angle_gamma 90.00
_symmetry_space_group_name_H-M 'I 4/m m m'
_symmetry_Int_Tables_number 139
_symmetry_space_group_name_Hall '-I 4 2'
loop_
_atom_site_label
_atom_site_type_symbol
_atom_site_fract_x
_atom_site_fract_y
_atom_site_fract_z
_atom_site_occupancy
Zr1 Zr 0.000 0.000 0.100 1
Mn1 Mn 0.000 0.000 0.500 1
Se1 Se 0.000 0.000 0.334 1



Energy comparison, zero being the most stable, in eV/atom: i 0.103; ii 0.000.



## i
# Zr2MnSe2 | Alexandria via LeMat-Bulk | PBE | relaxed
# Calculated volume   192.8 Å³/cell
# Total magnetization   2.5 μB per formula unit
# Density of states at the Fermi level   6.2 states/eV/cell
data_Zr2MnSe2
_chemical_formula_sum 'Zr4 Mn2 Se4'
_cell_length_a 5.230
_cell_length_b 6.431
_cell_length_c 6.607
_cell_angle_alpha 109.90
_cell_angle_beta 110.96
_cell_angle_gamma 90.83
_symmetry_space_group_name_H-M 'P -1'
_symmetry_Int_Tables_number 2
_symmetry_space_group_name_Hall '-P 1'
loop_
_atom_site_label
_atom_site_type_symbol
_atom_site_fract_x
_atom_site_fract_y
_atom_site_fract_z
_atom_site_occupancy
Zr1 Zr 0.164 0.353 0.363 1
Zr2 Zr 0.333 0.790 0.220 1
Mn1 Mn 0.201 0.062 0.952 1
Se1 Se 0.188 0.382 0.819 1
Se2 Se 0.370 0.804 0.665 1



## ii
# Zr2MnSe2 | Alexandria via LeMat-Bulk | PBE | relaxed
# Calculated volume   90.6 Å³/cell
# Total magnetization   0.0 μB per formula unit
# Density of states at the Fermi level   3.0 states/eV/cell
data_Zr2MnSe2
_chemical_formula_sum 'Zr2 Mn1 Se2'
_cell_length_a 3.496
_cell_length_b 3.916
_cell_length_c 7.087
_cell_angle_alpha 105.13
_cell_angle_beta 104.18
_cell_angle_gamma 90.15
_symmetry_space_group_name_H-M 'P 1'
_symmetry_Int_Tables_number 1
_symmetry_space_group_name_Hall 'P 1'
loop_
_atom_site_label
_atom_site_type_symbol
_atom_site_fract_x
_atom_site_fract_y
_atom_site_fract_z
_atom_site_occupancy
Zr1 Zr 0.000 0.000 0.000 1
Zr2 Zr 0.248 0.771 0.508 1
Mn1 Mn 0.561 0.620 0.172 1
Se1 Se 0.407 0.419 0.819 1
Se2 Se 0.678 0.210 0.369 1



Energy comparison, zero being the most stable, in eV/atom: i 0.000; ii 0.041.